Pm12TlCu6: relaxed, GGA-PBE.

Unit cell a=10.151 b=10.151 c=10.151 alpha=90.00 beta=90.00 gamma=90.00
Space group Im-3 (No. 204)
One atom of each set of equivalent atoms:
Pm 0.000 0.299 0.188 [24 per cell]
Tl 0.000 0.000 0.000 [2 per cell]
Cu 0.000 0.122 0.500 [12 per cell]

Computed properties:
Energy of formation   -0.130 eV/atom
Density   7.385 g/cm3
Electronic total energy   -0.3343 Ry/atom
Total magnetization   0.0 μB per cell